1.
## PtAuSe2 (PBE-GGA)

Data for a geometry-optimized PtAuSe2 structure.

Properties
crystal system: trigonal
total magnetization: 0.00 μB per formula unit
N(E_F): 0.693 states/eV/atom
uncorrected energy: -4.240 eV per atom
raw formation energy: -0.168 eV/atom

Cell: 7.767 7.767 7.767 Å, 28.86 28.86 28.86°
Fractional coordinates of all 4 atoms:
Se (0.890, 0.890, 0.890)
Se (0.110, 0.110, 0.110)
Pt (0.500, 0.500, 0.500)
Au (0.000, 0.000, 0.000)



2.
## LaDy2Y2Ho (PBE-GGA)

Data for a geometry-optimized LaDy2Y2Ho structure.

Properties
crystal system: orthorhombic
total magnetization: 0.00 μB per formula unit
N(E_F): 1.781 states/eV/atom
energy of formation: 0.288 eV per atom
uncorrected energy: -4.985 eV per atom

Cell: 3.391 6.603 17.888 Å, 90.00 90.00 90.00°
Fractional coordinates of all 12 atoms:
Y (0.000, 0.280, 0.850)
Y (0.500, 0.780, 0.650)
Y (0.000, 0.720, 0.150)
Y (0.500, 0.220, 0.350)
La (0.500, 0.500, 0.500)
La (0.000, 0.000, 0.000)
Ho (0.000, 0.000, 0.500)
Ho (0.500, 0.500, 0.000)
Dy (0.500, 0.724, 0.316)
Dy (0.000, 0.776, 0.816)
Dy (0.000, 0.224, 0.184)
Dy (0.500, 0.276, 0.684)



3.
## Y2TcPd2 (PBE-GGA)

Data for a geometry-optimized Y2TcPd2 structure.

Properties
crystal system: tetragonal
total magnetization: 1.02 μB per formula unit
N(E_F): 0.681 states/eV/atom
energy of formation: -0.347 eV per atom
uncorrected energy: -7.082 eV per atom

Cell: 7.201 7.201 4.024 Å, 90.00 90.00 90.00°
Site moments in Bohr magnetons follow the coordinates.
Fractional coordinates of all 10 atoms:
Y (0.677, 0.823, 0.500)  -0.03
Y (0.323, 0.177, 0.500)  -0.03
Y (0.823, 0.323, 0.500)  -0.04
Y (0.177, 0.677, 0.500)  -0.04
Pd (0.131, 0.369, 0.000)  0.04
Pd (0.369, 0.869, 0.000)  0.07
Pd (0.631, 0.131, 0.000)  0.07
Pd (0.869, 0.631, 0.000)  0.04
Tc (0.500, 0.500, 0.000)  0.89
Tc (0.000, 0.000, 0.000)  0.93



4.
## MgOs2 (PBE-GGA)

Data for a geometry-optimized MgOs2 structure.

Properties
crystal system: orthorhombic
total magnetization: 0.00 μB per formula unit
N(E_F): 0.745 states/eV/atom
energy of formation: 0.288 eV per atom
uncorrected energy: -7.730 eV per atom

Cell: 7.187 7.187 4.476 Å, 90.00 90.00 157.37°
Fractional coordinates of all 6 atoms:
Os (0.283, 0.717, 0.250)
Os (0.054, 0.946, 0.750)
Os (0.946, 0.054, 0.250)
Os (0.717, 0.283, 0.750)
Mg (0.390, 0.610, 0.750)
Mg (0.610, 0.390, 0.250)



5.
## Y4Tm2In (PBE-GGA)

Data for a geometry-optimized Y4Tm2In structure.

Properties
crystal system: monoclinic
total magnetization: 0.00 μB per formula unit
N(E_F): 1.730 states/eV/atom
energy of formation: -0.035 eV per atom
uncorrected energy: -5.398 eV per atom

Cell: 5.559 6.769 11.746 Å, 90.00 104.26 90.00°
Fractional coordinates of all 14 atoms:
Tm (0.459, 0.250, 0.975)
Tm (0.225, 0.250, 0.429)
Tm (0.775, 0.750, 0.571)
Tm (0.541, 0.750, 0.025)
In (0.103, 0.750, 0.153)
In (0.897, 0.250, 0.847)
Y (0.043, 0.250, 0.133)
Y (0.633, 0.008, 0.290)
Y (0.194, 0.750, 0.423)
Y (0.367, 0.992, 0.710)
Y (0.633, 0.492, 0.290)
Y (0.367, 0.508, 0.710)
Y (0.806, 0.250, 0.577)
Y (0.957, 0.750, 0.867)



6.
## CaLa2CuSi (PBE-GGA)

Data for a geometry-optimized CaLa2CuSi structure.

Properties
crystal system: tetragonal
total magnetization: 0.00 μB per formula unit
N(E_F): 1.501 states/eV/atom
uncorrected energy: -3.259 eV per atom
raw formation energy: 1.016 eV/atom

Cell: 5.740 5.051 5.740 Å, 90.00 90.00 90.00°
Fractional coordinates of all 5 atoms:
La (0.500, 0.000, 0.000)
La (0.000, 0.000, 0.500)
Ca (0.000, 0.000, 0.000)
Si (0.000, 0.500, 0.000)
Cu (0.500, 0.500, 0.500)



7.
## AsOsRu2 (PBE-GGA)

Data for a geometry-optimized AsOsRu2 structure.

Properties
crystal system: tetragonal
total magnetization: 0.76 μB per formula unit
N(E_F): 1.282 states/eV/atom
energy of formation: 0.380 eV per atom
uncorrected energy: -8.228 eV per atom

Cell: 4.555 4.555 2.823 Å, 90.00 90.00 90.00°
Site moments in Bohr magnetons follow the coordinates.
Fractional coordinates of all 4 atoms:
Ru (0.500, 0.500, 0.000)  0.32
Ru (0.000, 0.000, 0.000)  0.32
As (0.500, 0.000, 0.500)  0.00
Os (0.000, 0.500, 0.500)  0.10



8.
## Cs4InCl7 (PBE-GGA)

Data for a geometry-optimized Cs4InCl7 structure.

Properties
crystal system: monoclinic
total magnetization: 0.21 μB per formula unit
N(E_F): 0.000 states/eV/atom
uncorrected energy: -3.283 eV per atom
raw formation energy: -1.693 eV/atom

Cell: 7.080 10.395 8.380 Å, 96.02 65.01 70.09°
Site moments in Bohr magnetons follow the coordinates.
Fractional coordinates of all 12 atoms:
Cs (0.192, 0.800, 0.582)  0.00
Cs (0.573, 0.200, 0.418)  0.00
Cs (0.029, 0.508, 0.196)  0.00
Cs (0.732, 0.492, 0.804)  0.00
Cl (0.116, 0.189, 0.328)  0.00
Cl (0.633, 0.811, 0.672)  0.00
Cl (0.243, 0.513, 0.761)  0.07
Cl (0.708, 0.000, 0.000)  0.00
Cl (0.212, 0.837, 0.130)  0.00
Cl (0.517, 0.487, 0.239)  0.07
Cl (0.179, 0.163, 0.870)  0.00
In (0.366, 0.000, 0.000)  0.00



9.
## Ce5DySb6 (PBE-GGA)

Data for a geometry-optimized Ce5DySb6 structure.

Properties
crystal system: monoclinic
total magnetization: 4.13 μB per formula unit
N(E_F): 2.735 states/eV/atom
uncorrected energy: -5.972 eV per atom
raw formation energy: -1.054 eV/atom

Cell: 7.756 7.765 7.763 Å, 59.99 80.39 70.51°
Site moments in Bohr magnetons follow the coordinates.
Fractional coordinates of all 12 atoms:
Sb (0.247, 0.918, 0.670)  -0.02
Sb (0.751, 0.753, 0.000)  -0.03
Sb (0.753, 0.082, 0.330)  -0.02
Sb (0.249, 0.247, 0.000)  -0.03
Sb (0.753, 0.412, 0.670)  -0.02
Sb (0.247, 0.588, 0.330)  -0.02
Ce (0.500, 0.500, 0.000)  0.77
Ce (0.000, 0.666, 0.668)  0.75
Ce (0.500, 0.832, 0.337)  0.77
Ce (0.500, 0.168, 0.663)  0.77
Ce (0.000, 0.334, 0.332)  0.75
Dy (0.000, 0.000, 0.000)  -0.01



10.
## La2YInTc (PBE-GGA)

Data for a geometry-optimized La2YInTc structure.

Properties
crystal system: tetragonal
total magnetization: 0.00 μB per formula unit
N(E_F): 0.707 states/eV/atom
energy of formation: -0.114 eV per atom
uncorrected energy: -5.998 eV per atom

Cell: 5.359 5.359 5.512 Å, 90.00 90.00 90.00°
Fractional coordinates of all 5 atoms:
Y (0.000, 0.000, 0.500)
La (0.000, 0.500, 0.000)
La (0.500, 0.000, 0.000)
In (0.500, 0.500, 0.500)
Tc (0.000, 0.000, 0.000)



11.
## Ac12FeSn6 (PBE-GGA)

Data for a geometry-optimized Ac12FeSn6 structure.

Properties
crystal system: trigonal
total magnetization: 0.00 μB per formula unit
N(E_F): 1.170 states/eV/atom
energy of formation: -0.324 eV per atom
uncorrected energy: -4.629 eV per atom

Cell: 9.330 9.330 9.330 Å, 98.90 98.90 98.90°
Fractional coordinates of all 19 atoms:
Fe (0.000, 0.000, 0.000)
Ac (0.002, 0.311, 0.048)
Ac (0.048, 0.002, 0.311)
Ac (0.192, 0.428, 0.565)
Ac (0.808, 0.572, 0.435)
Ac (0.952, 0.998, 0.689)
Ac (0.689, 0.952, 0.998)
Ac (0.572, 0.435, 0.808)
Ac (0.435, 0.808, 0.572)
Ac (0.311, 0.048, 0.002)
Ac (0.428, 0.565, 0.192)
Ac (0.565, 0.192, 0.428)
Ac (0.998, 0.689, 0.952)
Sn (0.313, 0.123, 0.653)
Sn (0.687, 0.877, 0.347)
Sn (0.123, 0.653, 0.313)
Sn (0.877, 0.347, 0.687)
Sn (0.653, 0.313, 0.123)
Sn (0.347, 0.687, 0.877)



12.
## TaIn2Ag (PBE-GGA)

Data for a geometry-optimized TaIn2Ag structure.

Properties
crystal system: orthorhombic
total magnetization: 0.00 μB per formula unit
N(E_F): 0.336 states/eV/atom
energy of formation: 0.204 eV per atom
energy relative to the lowest polymorph listed for this composition: 20 kJ/mol of formula units
uncorrected energy: -4.842 eV per atom

Cell: 5.115 3.021 5.246 Å, 89.99 90.00 90.00°
Fractional coordinates of all 4 atoms:
In (0.000, 0.125, 0.922)
In (0.500, 0.125, 0.337)
Ag (0.500, 0.624, 0.812)
Ta (0.000, 0.625, 0.429)



Question: Which value of uncorrected energy does entry 2 give?
Answer: -4.985 eV per atom